Entry 1:
The following is a DFT calculation (PBE) of a relaxed structure of ErTh2Bi.

Calculated values
**Offset from the most stable computed form**: 9.624 kcal/mol of atoms
**Energy of formation from the pure elements**: 129 meV/atom
**D(E_F)**: 5.87 states/eV/cell
**Calculated volume**: 33.20 A^3/atom
**Symmetry**: R-3m, No. 166
**Crystal system**: trigonal

a b c (Å): 12.674 12.674 12.674
angles (deg): 15.88 15.88 15.88
Fractional coordinates of all 4 atoms:
Er1 0.000 0.000 0.000
Th1 0.412 0.412 0.412
Th2 0.588 0.588 0.588
Bi1 0.500 0.500 0.500

---

Entry 2:
The following is a DFT calculation (PBE) of a relaxed structure of LiZrTeN2.

Calculated values
**Offset from the most stable computed form**: 21.283 kcal/mol of atoms
**Uncorrected formation energy**: 1.07 eV/atom
**D(E_F)**: 3.01 states/eV/cell
**Calculated volume**: 14.75 A^3/atom
**Symmetry**: P4/mmm, No. 123
**Crystal system**: tetragonal

a b c (Å): 4.021 4.021 4.561
angles (deg): 90.00 90.00 90.00
Fractional coordinates of all 5 atoms:
Li1 0.000 0.000 0.000
Zr1 0.500 0.500 0.500
Te1 0.000 0.000 0.500
N1 0.000 0.500 0.000
N2 0.500 0.000 0.000

---

Entry 3:
The following is a DFT calculation (PBE) of a relaxed structure of K3Zn2PbF9.

Calculated values
**Uncorrected formation energy**: -2.53 eV/atom
**D(E_F)**: 0.00 states/eV/cell
**Calculated volume**: 16.64 A^3/atom
**Symmetry**: P-3m1, No. 164
**Crystal system**: trigonal

a b c (Å): 6.021 6.021 7.949
angles (deg): 90.00 90.00 120.00
Fractional coordinates of all 15 atoms:
K1 0.000 0.000 0.000
K2 0.333 0.667 0.724
K3 0.667 0.333 0.276
Zn1 0.333 0.667 0.152
Zn2 0.667 0.333 0.848
Pb1 0.000 0.000 0.500
F1 0.000 0.500 0.000
F2 0.173 0.346 0.297
F3 0.173 0.827 0.297
F4 0.346 0.173 0.703
F5 0.500 0.000 0.000
F6 0.500 0.500 0.000
F7 0.654 0.827 0.297
F8 0.827 0.173 0.703
F9 0.827 0.654 0.703

---

Entry 4:
The following is a DFT calculation (PBE) of a relaxed structure of Sr2MnNi.

Calculated values
**Energy of formation from the pure elements**: 340 meV/atom
**D(E_F)**: 7.10 states/eV/cell
**Calculated volume**: 35.47 A^3/atom
**Symmetry**: I-42d, No. 122
**Crystal system**: tetragonal

a b c (Å): 8.161 8.161 8.161
angles (deg): 94.62 94.62 147.01
Fractional coordinates of all 8 atoms:
Sr1 0.375 0.202 0.327
Sr2 0.798 0.125 0.173
Sr3 0.875 0.048 0.673
Sr4 0.952 0.625 0.827
Mn1 0.250 0.750 0.500
Mn2 0.500 0.500 0.000
Ni1 0.000 0.000 0.000
Ni2 0.750 0.250 0.500